Record 1
Computed, not measured: a relaxed structure of RbSmCdO3 at the GGA-PBE level of DFT.

Output
Uncorrected formation energy, eV per atom: -2.019
Space-group type: P2_1/m (11)

a = 3.6919 Å, b = 9.6351 Å, c = 6.9576 Å
α = 106.49°, β = 90.00°, γ = 90.00°
Sites, in units of the cell vectors:
Cd (0.2500, 0.0457, 0.6878)
Cd (0.7500, 0.9543, 0.3122)
Rb (0.2500, 0.3165, 0.3639)
Rb (0.7500, 0.6835, 0.6361)
O (0.2500, 0.8463, 0.4498)
O (0.7500, 0.7850, 0.0437)
O (0.2500, 0.2150, 0.9563)
O (0.7500, 0.5156, 0.1862)
O (0.2500, 0.4844, 0.8138)
O (0.7500, 0.1537, 0.5502)
Sm (0.7500, 0.3434, 0.8785)
Sm (0.2500, 0.6566, 0.1215)

=====

Record 2
Computed, not measured: a relaxed structure of TlCrBr2 at the GGA-PBE level of DFT.

Output
Uncorrected formation energy, eV per atom: -0.300
Space-group type: P4mm (99)

a = 3.9065 Å, b = 3.9065 Å, c = 8.2770 Å
α = 90.00°, β = 90.00°, γ = 90.01°
Each line ends with the local moment (μB).
Sites, in units of the cell vectors:
Br (0.0000, 0.0000, 0.0066)  0.00
Br (0.5000, 0.5000, 0.3731)  0.00
Cr (0.0000, 0.0000, 0.3257)  4.14
Tl (0.5000, 0.5000, 0.7947)  0.02

=====

Record 3
Computed, not measured: a relaxed structure of PrPaGa4 at the GGA-PBE level of DFT.

Output
Calculated formation energy, eV per atom: -0.35
Space-group type: F-43m (216)

a = 5.5916 Å, b = 5.5916 Å, c = 5.5916 Å
α = 60.00°, β = 60.00°, γ = 60.00°
Each line ends with the local moment (μB).
Sites, in units of the cell vectors:
Ga (0.6259, 0.6259, 0.1222)  0.00
Ga (0.1222, 0.6259, 0.6259)  0.00
Ga (0.6259, 0.1222, 0.6259)  0.00
Ga (0.6259, 0.6259, 0.6259)  0.00
Pr (0.2500, 0.2500, 0.2500)  0.02
Pa (0.0000, 0.0000, 0.0000)  0.27

=====

Record 4
Computed, not measured: a relaxed structure of HfAg2I at the GGA-PBE level of DFT.

Output
Uncorrected formation energy, eV per atom: -0.008
Space-group type: P1 (1)

a = 3.5029 Å, b = 7.4029 Å, c = 7.7954 Å
α = 88.59°, β = 92.62°, γ = 75.59°
Sites, in units of the cell vectors:
Ag (0.8777, 0.5471, 0.7359)
Ag (0.2203, 0.9211, 0.8104)
Ag (0.5539, 0.2368, 0.8091)
Ag (0.7121, 0.8782, 0.5354)
Hf (0.0326, 0.2208, 0.5089)
Hf (0.3477, 0.5627, 0.4127)
I (0.7392, 0.7018, 0.1261)
I (0.4999, 0.2299, 0.2054)

=====

Record 5
Computed, not measured: a relaxed structure of Mg2TcSnSb at the GGA-PBE level of DFT.

Output
Uncorrected formation energy, eV per atom: 1.183
Space-group type: P4/mmm (123)

a = 5.1878 Å, b = 5.8684 Å, c = 5.1878 Å
α = 90.00°, β = 90.00°, γ = 90.00°
Each line ends with the local moment (μB).
Sites, in units of the cell vectors:
Tc (0.5000, 0.5000, 0.5000)  3.38
Mg (0.0000, 0.0000, 0.5000)  -0.01
Mg (0.5000, 0.0000, 0.0000)  -0.01
Sb (0.0000, 0.0000, 0.0000)  0.01
Sn (0.0000, 0.5000, 0.0000)  -0.08

=====

Record 6
Computed, not measured: a relaxed structure of Be2GeO at the GGA-PBE level of DFT.

Output
Uncorrected formation energy, eV per atom: -0.836
Space-group type: I-42d (122)

a = 4.8025 Å, b = 4.8025 Å, c = 5.2353 Å
α = 62.70°, β = 62.70°, γ = 90.00°
Sites, in units of the cell vectors:
O (0.5000, 0.5000, 0.0000)
O (0.2500, 0.7500, 0.5000)
Ge (0.7500, 0.2500, 0.5000)
Ge (0.0000, 0.0000, 0.0000)
Be (0.5032, 0.1250, 0.2500)
Be (0.8750, 0.7532, 0.7500)
Be (0.3750, 0.4968, 0.7500)
Be (0.2468, 0.6250, 0.2500)

=====

Record 7
Computed, not measured: a relaxed structure of TcSn2Se at the GGA-PBE level of DFT.

Output
Uncorrected formation energy, eV per atom: 0.504
Space-group type: I-42d (122)

a = 6.2947 Å, b = 6.2947 Å, c = 7.5807 Å
α = 65.47°, β = 65.47°, γ = 90.00°
Sites, in units of the cell vectors:
Sn (0.3750, 0.3429, 0.7500)
Sn (0.8750, 0.9071, 0.7500)
Sn (0.6571, 0.1250, 0.2500)
Sn (0.0929, 0.6250, 0.2500)
Tc (0.7500, 0.2500, 0.5000)
Tc (0.0000, 0.0000, 0.0000)
Se (0.2500, 0.7500, 0.5000)
Se (0.5000, 0.5000, 0.0000)

=====

Record 8
Computed, not measured: a relaxed structure of SmAlTl2Te4 at the GGA-PBE level of DFT.

Output
Uncorrected formation energy, eV per atom: -0.627
Space-group type: Imma (74)

a = 9.1098 Å, b = 9.1098 Å, c = 9.2651 Å
α = 120.57°, β = 120.57°, γ = 90.42°
Sites, in units of the cell vectors:
Te (0.7560, 0.7441, 0.5435)
Te (0.2441, 0.2560, 0.0435)
Te (0.2130, 0.7593, 0.9862)
Te (0.7407, 0.2870, 0.5138)
Te (0.2593, 0.7130, 0.4862)
Te (0.7559, 0.7440, 0.9565)
Te (0.7870, 0.2407, 0.0138)
Te (0.2440, 0.2559, 0.4565)
Sm (0.0000, 0.5000, 0.0000)
Sm (0.0000, 0.5000, 0.5000)
Al (0.0000, 0.0000, 0.0000)
Al (0.5000, 0.5000, 0.5000)
Tl (0.5000, 0.0000, 0.5000)
Tl (0.5000, 0.5000, 0.0000)
Tl (0.0000, 0.0000, 0.5000)
Tl (0.5000, 0.0000, 0.0000)

=====

Record 9
Computed, not measured: a relaxed structure of TbTmTeSe2 at the GGA-PBE level of DFT.

Output
Uncorrected formation energy, eV per atom: -1.299
Space-group type: I4mm (107)

a = 4.6237 Å, b = 4.6237 Å, c = 7.7052 Å
α = 107.46°, β = 107.46°, γ = 90.00°
Sites, in units of the cell vectors:
Se (0.2516, 0.7516, 0.5032)
Se (0.7516, 0.2516, 0.5032)
Te (0.5012, 0.5012, 0.0025)
Tm (0.8576, 0.8576, 0.7152)
Tb (0.1379, 0.1379, 0.2759)

=====

Record 10
Computed, not measured: a relaxed structure of Ba8Sn2N at the GGA-PBE level of DFT.

Output
Uncorrected formation energy, eV per atom: -0.241
Space-group type: C2/m (12)

a = 6.2340 Å, b = 7.3844 Å, c = 10.9147 Å
α = 109.53°, β = 106.59°, γ = 90.00°
Sites, in units of the cell vectors:
Sn (0.1759, 0.7055, 0.3518)
Sn (0.8241, 0.2945, 0.6482)
Ba (0.6230, 0.9183, 0.2460)
Ba (0.2233, 0.2663, 0.4467)
Ba (0.5870, 0.3570, 0.1741)
Ba (0.9834, 0.2270, 0.9668)
Ba (0.4130, 0.6430, 0.8259)
Ba (0.7767, 0.7337, 0.5533)
Ba (0.3770, 0.0817, 0.7540)
Ba (0.0166, 0.7730, 0.0332)
N (0.5000, 0.0000, 0.0000)

=====

Record 11
Computed, not measured: a relaxed structure of Tb6Pm3Er2 at the GGA-PBE level of DFT.

Output
Calculated formation energy, eV per atom: 0.28
Space-group type: I4/mmm (139)

a = 4.7581 Å, b = 4.7581 Å, c = 16.9712 Å
α = 98.06°, β = 98.06°, γ = 90.00°
Sites, in units of the cell vectors:
Pm (0.2019, 0.2019, 0.4037)
Pm (0.0000, 0.0000, 0.0000)
Pm (0.7981, 0.7981, 0.5963)
Tb (0.6945, 0.6945, 0.3890)
Tb (0.1201, 0.6201, 0.2401)
Tb (0.3055, 0.3055, 0.6110)
Tb (0.8799, 0.3799, 0.7599)
Tb (0.3799, 0.8799, 0.7599)
Tb (0.6201, 0.1201, 0.2401)
Er (0.4541, 0.4541, 0.9082)
Er (0.5459, 0.5459, 0.0918)

=====

Record 12
Computed, not measured: a relaxed structure of NaPrO2 at the GGA-PBE level of DFT.

Output
Uncorrected formation energy, eV per atom: -2.611
Space-group type: I4_1/amd (141)

a = 6.5742 Å, b = 6.5742 Å, c = 6.5742 Å
α = 137.22°, β = 137.22°, γ = 62.09°
Sites, in units of the cell vectors:
Na (0.0000, 0.0000, 0.0000)
Na (0.7500, 0.2500, 0.5000)
O (0.0329, 0.5329, 0.5000)
O (0.7171, 0.7171, 0.0000)
O (0.4671, 0.9671, 0.5000)
O (0.2829, 0.2829, 0.0000)
Pr (0.5000, 0.5000, 0.0000)
Pr (0.2500, 0.7500, 0.5000)

=====

Record 13
Computed, not measured: a relaxed structure of Pm5Ho3Er at the GGA-PBE level of DFT.

Output
Calculated formation energy, eV per atom: 0.22
Space-group type: C2/c (15)

a = 6.7622 Å, b = 8.8107 Å, c = 11.8068 Å
α = 106.83°, β = 90.00°, γ = 112.57°
Sites, in units of the cell vectors:
Pm (0.6713, 0.2222, 0.0104)
Pm (0.2421, 0.3621, 0.9454)
Pm (0.7579, 0.6379, 0.0546)
Pm (0.1200, 0.3621, 0.4454)
Pm (0.4491, 0.7778, 0.4896)
Pm (0.8800, 0.6379, 0.5546)
Pm (0.6729, 0.0000, 0.2500)
Pm (0.3271, 0.0000, 0.7500)
Pm (0.5509, 0.2222, 0.5104)
Pm (0.3287, 0.7778, 0.9896)
Ho (0.9027, 0.4275, 0.7657)
Ho (0.0000, 0.0000, 0.5000)
Ho (0.0973, 0.5725, 0.2343)
Ho (0.0000, 0.0000, 0.0000)
Ho (0.4752, 0.5725, 0.7343)
Ho (0.5248, 0.4275, 0.2657)
Er (0.1864, 0.0000, 0.2500)
Er (0.8136, 0.0000, 0.7500)

=====

Record 14
Computed, not measured: a relaxed structure of Nd3TmPb4 at the GGA-PBE level of DFT.

Output
Calculated formation energy, eV per atom: -0.37
Space-group type: Immm (71)

a = 3.6521 Å, b = 7.2707 Å, c = 10.4115 Å
α = 110.42°, β = 100.10°, γ = 90.00°
Sites, in units of the cell vectors:
Nd (0.0000, 0.5000, 0.0000)
Nd (0.7759, 0.7760, 0.5518)
Nd (0.2241, 0.2240, 0.4482)
Pb (0.6251, 0.3996, 0.2502)
Pb (0.3749, 0.6004, 0.7498)
Pb (0.6250, 0.8505, 0.2501)
Pb (0.3750, 0.1495, 0.7499)
Tm (0.5000, 0.0000, 0.0000)

=====

Record 15
Computed, not measured: a relaxed structure of HoLuH2 at the GGA-PBE level of DFT.

Output
Final energy, eV/f.u.: -17.11
Space-group type: R-3m (166)

a = 3.4277 Å, b = 3.4277 Å, c = 5.9173 Å
α = 73.16°, β = 73.16°, γ = 60.00°
Sites, in units of the cell vectors:
Ho (0.0000, 0.0000, 0.0000)
Lu (0.5000, 0.5000, 0.5000)
H (0.2532, 0.2532, 0.2405)
H (0.7468, 0.7468, 0.7595)

=====

Record 16
Computed, not measured: a relaxed structure of Tb3ErIn4 at the GGA-PBE level of DFT.

Output
Calculated formation energy, eV per atom: -0.31
Space-group type: Immm (71)

a = 3.4570 Å, b = 6.8653 Å, c = 10.3897 Å
α = 109.30°, β = 99.58°, γ = 90.00°
Sites, in units of the cell vectors:
In (0.3740, 0.1528, 0.7480)
In (0.6260, 0.4049, 0.2519)
In (0.6260, 0.8472, 0.2520)
In (0.3740, 0.5951, 0.7481)
Tb (0.7751, 0.7750, 0.5503)
Tb (0.2249, 0.2250, 0.4497)
Tb (0.0000, 0.5000, 0.0000)
Er (0.5000, 0.0000, 0.0000)

=====

Record 17
Computed, not measured: a relaxed structure of Ac2EuOs at the GGA-PBE level of DFT.

Output
Calculated formation energy, eV per atom: 0.37
Space-group type: R-3m (166)

a = 5.5654 Å, b = 5.5654 Å, c = 5.4479 Å
α = 59.28°, β = 59.28°, γ = 60.00°
Each line ends with the local moment (μB).
Sites, in units of the cell vectors:
Ac (0.2470, 0.2470, 0.2589)  0.09
Ac (0.7530, 0.7530, 0.7411)  0.09
Eu (0.5000, 0.5000, 0.5000)  6.96
Os (0.0000, 0.0000, 0.0000)  -0.10

=====

Record 18
Computed, not measured: a relaxed structure of Rb2TiGaBr6 at the GGA-PBE level of DFT.

Output
Uncorrected formation energy, eV per atom: -1.294
Space-group type: P2_1/c (14)

a = 7.7754 Å, b = 7.9817 Å, c = 11.1384 Å
α = 90.00°, β = 90.04°, γ = 90.00°
Each line ends with the local moment (μB).
Sites, in units of the cell vectors:
Ga (0.0000, 0.5000, 0.5000)  0.00
Ga (0.5000, 0.0000, 0.0000)  0.00
Rb (0.9838, 0.0578, 0.7510)  0.00
Rb (0.0162, 0.9422, 0.2490)  0.00
Rb (0.4838, 0.4422, 0.2510)  0.00
Rb (0.5162, 0.5578, 0.7490)  0.00
Br (0.5672, 0.0070, 0.2706)  -0.01
Br (0.7722, 0.8136, 0.5351)  -0.01
Br (0.2278, 0.1864, 0.4649)  -0.01
Br (0.0672, 0.4930, 0.7706)  -0.01
Br (0.7278, 0.3136, 0.9649)  -0.01
Br (0.3153, 0.7295, 0.4672)  -0.01
Br (0.4328, 0.9930, 0.7294)  -0.01
Br (0.9328, 0.5070, 0.2294)  -0.01
Br (0.1847, 0.2295, 0.0328)  -0.01
Br (0.8153, 0.7705, 0.9672)  -0.01
Br (0.6847, 0.2705, 0.5328)  -0.01
Br (0.2722, 0.6864, 0.0351)  -0.01
Ti (0.0000, 0.5000, 0.0000)  0.92
Ti (0.5000, 0.0000, 0.5000)  0.92

=====

Record 19
Computed, not measured: a relaxed structure of ScTlZn at the GGA-PBE level of DFT.

Output
Calculated formation energy, eV per atom: -0.12
Space-group type: I4mm (107)

a = 6.2437 Å, b = 6.2436 Å, c = 3.3227 Å
α = 74.57°, β = 74.57°, γ = 30.86°
Each line ends with the local moment (μB).
Sites, in units of the cell vectors:
Zn (0.6611, 0.6612, 0.3389)  0.00
Sc (0.0141, 0.0141, 0.9859)  0.28
Tl (0.3247, 0.3247, 0.6753)  0.00

=====

Record 20
Computed, not measured: a relaxed structure of Th3Pd5Se12 at the GGA-PBE level of DFT.

Output
Uncorrected formation energy, eV per atom: -0.821
Space-group type: Ia-3d (230)

a = 13.7637 Å, b = 13.7637 Å, c = 13.7637 Å
α = 109.47°, β = 109.47°, γ = 109.47°
Sites, in units of the cell vectors:
Se (0.3286, 0.7926, 0.4166)
Se (0.4639, 0.7926, 0.8760)
Se (0.1240, 0.7074, 0.5361)
Se (0.3760, 0.9639, 0.7926)
Se (0.2926, 0.4166, 0.8286)
Se (0.5879, 0.9639, 0.6714)
Se (0.3286, 0.5361, 0.4121)
Se (0.2926, 0.8760, 0.9639)
Se (0.2074, 0.6714, 0.0834)
Se (0.9166, 0.8286, 0.7926)
Se (0.0834, 0.9121, 0.3760)
Se (0.1714, 0.0834, 0.7074)
Se (0.0834, 0.1714, 0.2074)
Se (0.9121, 0.0834, 0.8760)
Se (0.8760, 0.2926, 0.4639)
Se (0.6714, 0.2074, 0.5834)
Se (0.0879, 0.9166, 0.1240)
Se (0.5879, 0.6240, 0.4166)
Se (0.5361, 0.2074, 0.1240)
Se (0.4166, 0.1240, 0.5879)
Se (0.7926, 0.4639, 0.3760)
Se (0.7074, 0.1240, 0.0361)
Se (0.4639, 0.6714, 0.0879)
Se (0.9639, 0.5879, 0.1714)
Se (0.0361, 0.6240, 0.7074)
Se (0.2074, 0.5361, 0.6240)
Se (0.6714, 0.4639, 0.5879)
Se (0.5834, 0.8760, 0.4121)
Se (0.3760, 0.4121, 0.0834)
Se (0.9121, 0.8286, 0.5361)
Se (0.5361, 0.3286, 0.9121)
Se (0.7926, 0.3286, 0.9166)
Se (0.6240, 0.5879, 0.9166)
Se (0.1714, 0.0879, 0.9639)
Se (0.9166, 0.0879, 0.6240)
Se (0.5834, 0.7074, 0.6714)
Se (0.6240, 0.0361, 0.2074)
Se (0.4166, 0.2926, 0.3286)
Se (0.8286, 0.9121, 0.0361)
Se (0.4121, 0.0361, 0.3286)
Se (0.4121, 0.3760, 0.5834)
Se (0.8286, 0.9166, 0.2926)
Se (0.7074, 0.5834, 0.1714)
Se (0.8760, 0.5834, 0.9121)
Se (0.0361, 0.4121, 0.8286)
Se (0.0879, 0.1714, 0.4639)
Se (0.9639, 0.3760, 0.2926)
Se (0.1240, 0.4166, 0.0879)
Pd (0.0000, 0.5000, 0.0000)
Pd (0.0000, 0.0000, 0.5000)
Pd (0.6250, 0.7500, 0.8750)
Pd (0.5000, 0.5000, 0.5000)
Pd (0.0000, 0.5000, 0.5000)
Pd (0.1250, 0.3750, 0.2500)
Pd (0.3750, 0.1250, 0.7500)
Pd (0.6250, 0.8750, 0.2500)
Pd (0.8750, 0.2500, 0.6250)
Pd (0.7500, 0.1250, 0.8750)
Pd (0.5000, 0.5000, 0.0000)
Pd (0.5000, 0.0000, 0.0000)
Pd (0.0000, 0.0000, 0.0000)
Pd (0.3750, 0.2500, 0.1250)
Pd (0.8750, 0.6250, 0.7500)
Pd (0.7500, 0.6250, 0.3750)
Pd (0.2500, 0.3750, 0.6250)
Pd (0.5000, 0.0000, 0.5000)
Pd (0.1250, 0.7500, 0.3750)
Pd (0.2500, 0.8750, 0.1250)
Th (0.6250, 0.3750, 0.7500)
Th (0.1250, 0.2500, 0.8750)
Th (0.8750, 0.7500, 0.1250)
Th (0.3750, 0.6250, 0.2500)
Th (0.7500, 0.8750, 0.6250)
Th (0.2500, 0.6250, 0.8750)
Th (0.6250, 0.2500, 0.3750)
Th (0.7500, 0.3750, 0.1250)
Th (0.2500, 0.1250, 0.3750)
Th (0.1250, 0.8750, 0.7500)
Th (0.8750, 0.1250, 0.2500)
Th (0.3750, 0.7500, 0.6250)